1.
{
  "formula": "Mn2CuNi6",
  "functional": "PBE-GGA",
  "state": "relaxed",
  "cell": [[-0.114, -1.524, -5.260], [3.311, -3.434, 0.923], [-4.734, -1.020, 0.398]],
  "species": ["Ni", "Ni", "Ni", "Mn", "Mn", "Ni", "Ni", "Ni", "Cu"],
  "fractional_positions": [[0.829, 0.826, 0.653], [0.829, 0.826, 0.174], [0.829, 0.347, 0.174], [0.631, 0.333, 0.667], [0.369, 0.667, 0.333], [0.171, 0.653, 0.826], [0.171, 0.174, 0.826], [0.171, 0.174, 0.347], [0.500, 0.000, 0.000]],
  "total_magnetization_mub_per_atom": 1.232,
  "dft_energy_ev_per_cell": -55.51
}



2.
{
  "formula": "MnCu4Ni3",
  "functional": "PBE-GGA",
  "state": "relaxed",
  "cell": [[-1.294, 1.027, 2.026], [-2.438, -3.561, 0.248], [9.682, 1.324, 3.829]],
  "species": ["Ni", "Ni", "Ni", "Cu", "Cu", "Cu", "Cu", "Mn"],
  "fractional_positions": [[0.123, 0.224, 0.247], [0.000, 0.500, 0.000], [0.877, 0.776, 0.753], [0.251, 0.255, 0.502], [0.375, 0.267, 0.750], [0.625, 0.733, 0.250], [0.749, 0.745, 0.498], [0.500, 0.000, 0.000]],
  "total_magnetization_mub_per_atom": 0.548,
  "dft_energy_ev_per_cell": -42.81
}



3.
{
  "formula": "MnCu2Ni",
  "functional": "PBE-GGA",
  "state": "relaxed",
  "cell": [[2.661, 0.000, 0.000], [0.000, 3.583, 0.000], [0.000, 0.000, 5.102]],
  "species": ["Cu", "Mn", "Cu", "Ni"],
  "fractional_positions": [[0.000, 0.000, 0.507], [0.500, 0.500, 0.250], [0.000, 0.000, 0.993], [0.500, 0.500, 0.750]],
  "total_magnetization_mub_per_atom": 1.051,
  "dft_energy_ev_per_cell": -22.90
}



4.
{
  "formula": "MnCu3Ni2",
  "functional": "PBE-GGA",
  "state": "relaxed",
  "cell": [[4.335, -0.324, -0.856], [-1.362, 4.128, -0.856], [0.097, 0.124, 8.035]],
  "species": ["Cu", "Ni", "Cu", "Ni", "Ni", "Cu", "Ni", "Mn", "Cu", "Cu", "Mn", "Cu"],
  "fractional_positions": [[0.625, 0.375, 0.250], [0.042, 0.292, 0.085], [0.790, 0.540, 0.580], [0.708, 0.958, 0.415], [0.292, 0.042, 0.585], [0.540, 0.790, 0.080], [0.958, 0.708, 0.915], [0.125, 0.875, 0.250], [0.210, 0.460, 0.420], [0.375, 0.625, 0.750], [0.875, 0.125, 0.750], [0.460, 0.210, 0.920]],
  "total_magnetization_mub_per_atom": 0.645,
  "dft_energy_ev_per_cell": -65.82
}



5.
{
  "formula": "MnCu2Ni",
  "functional": "PBE-GGA",
  "state": "relaxed",
  "cell": [[-1.754, -0.764, 1.848], [2.610, -3.240, 1.136], [3.688, 0.269, 3.610]],
  "species": ["Mn", "Cu", "Cu", "Ni"],
  "fractional_positions": [[0.500, 0.500, 0.500], [0.000, 0.000, 0.000], [0.500, 0.500, 0.000], [0.000, 0.000, 0.500]],
  "total_magnetization_mub_per_atom": 0.995,
  "dft_energy_ev_per_cell": -22.92
}



6.
{
  "formula": "MnCu2Ni",
  "functional": "PBE-GGA",
  "state": "relaxed",
  "cell": [[-6.734, -3.441, -4.000], [-5.872, -5.526, -2.859], [-7.413, -3.951, -1.619]],
  "species": ["Ni", "Cu", "Mn", "Cu"],
  "fractional_positions": [[0.750, 0.750, 0.750], [0.498, 0.498, 0.498], [0.250, 0.250, 0.250], [0.002, 0.002, 0.002]],
  "total_magnetization_mub_per_atom": 0.621,
  "dft_energy_ev_per_cell": -22.62
}



| no. | formation energy from the elements (eV per atom) |
| --- | --- |
| 1 | 0.179 |
| 2 | 0.012 |
| 3 | 0.062 |
| 4 | 0.018 |
| 5 | 0.057 |
| 6 | 0.130 |